(1)
VASP calculation (PBE) on a relaxed structure of SrCa4W.

The calculation puts the density of states at the Fermi level at 2.44 states/eV per cell. The raw total energy comes out at -2.816 eV/atom. The calculation puts the energy relative to the elements at 957 meV per atom. Its space group is F-43m, No. 216.

```
6
Lattice="0.0000 4.8124 4.8124 4.8124 0.0000 4.8124 4.8124 4.8124 0.0000" Properties=species:S:1:pos:R:3 pbc="T T T"
Sr 7.2186 7.2186 7.2186
Ca 3.5988 6.0260 6.0260
Ca 6.0260 6.0260 3.5988
Ca 6.0260 3.5988 6.0260
Ca 3.5988 3.5988 3.5988
W 0.0000 0.0000 0.0000
```



(2)
VASP calculation (PBE) on a relaxed structure of NaLiTiS3.

As for the formation energy without anion corrections: -124 kJ/mol of atoms. The raw total energy comes out at -5.208 eV/atom. Its space group is P2_1/m, No. 11.

```
12
Lattice="3.5571 0.0000 0.0000 0.0000 8.7932 2.1418 0.0000 -1.6174 6.8395" Properties=species:S:1:pos:R:3 pbc="T T T"
Na 2.6678 4.9521 5.3431
Na 0.8893 2.2237 3.6382
Li 0.8893 -1.1533 5.5261
Li 2.6678 8.3290 3.4553
Ti 0.8893 5.8669 2.1394
Ti 2.6678 1.3088 6.8420
S 0.8893 6.7589 4.2034
S 2.6678 5.6719 8.0334
S 2.6678 4.1845 2.4896
S 2.6678 0.4168 4.7780
S 0.8893 2.9912 6.4917
S 0.8893 1.5039 0.9479
```



(3)
VASP calculation (PBE) on a relaxed structure of AlV2C2.

The calculation puts the density of states at the Fermi level at 7.33 states/eV per cell. The raw total energy comes out at -8.183 eV/atom. As for the energy above the lowest structure with this stoichiometry: 0.000 eV per atom. The calculation puts the energy relative to the elements at -97 meV per atom. Its space group is P4/mbm, No. 127.

```
10
Lattice="-0.8700 -2.6507 4.9747 5.2631 1.4203 1.6773 -1.0218 2.4535 1.1286" Properties=species:S:1:pos:R:3 pbc="T T T"
C 4.1655 0.2805 3.1614
C 2.6865 -1.3266 5.3160
C 0.2275 -1.5109 3.4905
C 1.7066 0.0962 1.3359
Al 0.0000 0.0000 0.0000
Al 2.1965 -0.6152 3.3260
V 2.7719 1.7545 2.3890
V 3.4080 0.7182 5.2177
V 0.5994 -0.5314 5.3915
V -0.0368 0.5049 2.5628
```



(4)
VASP calculation (PBE) on a relaxed structure of NiHgPb2.

The calculation puts the density of states at the Fermi level at 2.00 states/eV per cell. The raw total energy comes out at -3.244 eV/atom. The calculation puts the energy relative to the elements at 131 meV per atom. Its space group is Cm, No. 8.

```
4
Lattice="-4.4327 1.0984 2.3185 -4.9430 0.7197 -1.1311 -3.5687 -5.3672 1.1173" Properties=species:S:1:pos:R:3 pbc="T T T"
Hg -6.5462 -1.0234 1.0808
Ni -3.8841 -1.5283 0.7424
Pb -8.8152 1.4256 1.1476
Pb -9.5467 -2.3793 1.6736
```



(5)
VASP calculation (PBE) on a relaxed structure of Ac4Ge2S.

The calculation puts the density of states at the Fermi level at 10.88 states/eV per cell. As for the formation energy without anion corrections: -77 kJ/mol of atoms. The raw total energy comes out at -5.052 eV/atom. As for the energy above the lowest structure with this stoichiometry: 0.179 eV per atom. Its space group is P2_1/m, No. 11.

```
14
Lattice="7.7471 0.0000 0.0938 0.0000 7.6100 0.0000 -2.7443 0.0000 8.6363" Properties=species:S:1:pos:R:3 pbc="T T T"
Ac 3.2731 3.7654 2.2193
Ac -2.2796 5.7075 7.4701
Ac 7.2824 1.9025 1.2599
Ac 3.2731 0.0396 2.2193
Ac 6.0022 1.9025 5.3694
Ac 1.7298 7.5704 6.5108
Ac 1.7298 3.8446 6.5108
Ac -0.9993 5.7075 3.3607
Ge 5.3448 5.7075 0.5133
Ge -0.3419 1.9025 8.2168
Ge 1.1786 1.9025 3.9325
Ge 3.8243 5.7075 4.7975
S 1.2394 5.7075 1.5707
S 3.7635 1.9025 7.1593
```



(6)
VASP calculation (PBE) on a relaxed structure of RbBa2Y.

The calculation puts the density of states at the Fermi level at 10.39 states/eV per cell. The raw total energy comes out at -2.187 eV/atom. As for the energy above the lowest structure with this stoichiometry: 0.248 eV per atom. The calculation puts the energy relative to the elements at 632 meV per atom. Its space group is I-42d, No. 122.

```
8
Lattice="5.5812 0.0000 0.0000 0.0000 5.5812 0.0000 2.7906 2.7906 14.0720" Properties=species:S:1:pos:R:3 pbc="T T T"
Y 0.0000 0.0000 0.0000
Y 5.5812 2.7906 7.0360
Ba 4.2357 1.3953 3.5180
Ba 1.3454 4.1859 3.5180
Ba 4.1859 4.1360 10.5540
Ba 6.9765 7.0263 10.5540
Rb 2.7906 2.7906 0.0000
Rb 2.7906 5.5812 7.0360
```



(7)
VASP calculation (PBE) on a relaxed structure of SmEr2Ru.

The calculation puts the density of states at the Fermi level at 6.19 states/eV per cell. The raw total energy comes out at -5.706 eV/atom. As for the energy above the lowest structure with this stoichiometry: 0.389 eV per atom. The calculation puts the energy relative to the elements at 74 meV per atom. Its space group is R-3m, No. 166.

```
4
Lattice="-0.4830 -1.3471 3.1739 -0.8181 -3.3652 0.3567 10.0100 -4.0529 1.7126" Properties=species:S:1:pos:R:3 pbc="T T T"
Ru 4.3545 -4.3826 2.6216
Sm 0.0000 0.0000 0.0000
Er 6.6213 -3.2475 1.5387
Er 2.0877 -5.5178 3.7044
```



(8)
VASP calculation (PBE) on a relaxed structure of Pr2YHo3Tm6.

The calculation puts the density of states at the Fermi level at 16.08 states/eV per cell. The raw total energy comes out at -4.690 eV/atom. The calculation puts the energy relative to the elements at 25 meV per atom. Its space group is C2/m, No. 12.

```
12
Lattice="6.1381 0.0014 0.0046 -3.0664 5.3173 0.0046 -1.0288 -1.7813 11.5252" Properties=species:S:1:pos:R:3 pbc="T T T"
Pr 0.0029 3.5447 0.0046
Pr 3.0689 1.7740 0.0046
Y 0.0000 0.0000 0.0000
Ho -2.0480 3.5414 5.7672
Ho 4.0909 -0.0040 5.7672
Ho 1.0215 1.7687 5.7672
Tm 3.0638 1.7642 8.6071
Tm 2.0496 3.5488 2.9359
Tm -1.0209 1.7732 2.9274
Tm -0.0031 3.5354 8.6071
Tm -0.0066 -0.0114 8.5986
Tm 2.0460 0.0019 2.9274
```



(9)
VASP calculation (PBE) on a relaxed structure of TlCrW2.

The calculation puts the density of states at the Fermi level at 1.71 states/eV per cell. The raw total energy comes out at -8.696 eV/atom. As for the energy above the lowest structure with this stoichiometry: 0.171 eV per atom. The calculation puts the energy relative to the elements at 778 meV per atom. Its space group is F-43m, No. 216.

```
4
Lattice="-2.6363 1.7919 3.2859 -0.0297 -1.8636 4.1815 1.9154 2.2262 3.5119" Properties=species:S:1:pos:R:3 pbc="T T T"
Cr -0.3753 1.0773 5.4897
Tl -0.5630 1.6159 8.2345
W 0.0000 0.0000 0.0000
W -0.1877 0.5386 2.7448
```



(10)
VASP calculation (PBE) on a relaxed structure of SnH4.

The calculation puts the density of states at the Fermi level at 0.83 states/eV per cell. The raw total energy comes out at -3.399 eV/atom. As for the energy above the lowest structure with this stoichiometry: 0.000 eV per atom. Its space group is Cmcm, No. 63.

```
10
Lattice="11.7704 -1.6240 0.0000 -10.7427 5.0769 0.0000 0.0000 0.0000 4.6009" Properties=species:S:1:pos:R:3 pbc="T T T"
Sn 5.6760 0.1900 3.4507
Sn -4.6483 3.2629 1.1502
H 2.2581 1.2073 1.1502
H -1.2304 2.2456 3.4507
H 2.9792 0.9927 1.1502
H -1.9514 2.4602 3.4507
H -10.3876 4.9712 2.3411
H 11.4154 -1.5183 2.2598
H -10.3876 4.9712 4.5603
H 11.4154 -1.5183 0.0406
```



(11)
VASP calculation (PBE) on a relaxed structure of CdTc2Pb.

The calculation puts the density of states at the Fermi level at 1.76 states/eV per cell. The raw total energy comes out at -5.968 eV/atom. As for the energy above the lowest structure with this stoichiometry: 0.162 eV per atom. The calculation puts the energy relative to the elements at 371 meV per atom. Its space group is R3m, No. 160.

```
4
Lattice="10.3127 0.0394 0.0231 9.8704 2.9881 0.0231 9.8704 1.4805 2.5956" Properties=species:S:1:pos:R:3 pbc="T T T"
Cd 15.3833 2.3075 1.3522
Pb 22.2598 3.3389 1.9567
Tc 29.7233 4.4584 2.6127
Tc 7.7675 1.1651 0.6828
```



(12)
VASP calculation (PBE) on a relaxed structure of K2SrTcMo.

The calculation puts the density of states at the Fermi level at 5.48 states/eV per cell. The raw total energy comes out at -3.784 eV/atom. The calculation puts the energy relative to the elements at 1231 meV per atom. Its space group is P4/mmm, No. 123.

```
5
Lattice="6.4577 0.0000 0.0000 0.0000 4.6678 0.0000 0.0000 0.0000 6.4577" Properties=species:S:1:pos:R:3 pbc="T T T"
K 0.0000 0.0000 3.2288
K 3.2288 0.0000 0.0000
Sr 3.2288 2.3339 3.2288
Mo 0.0000 2.3339 0.0000
Tc 0.0000 0.0000 0.0000
```